[1]
PBE+U Mn8O13F3, optimized geometry; crystal system = triclinic; distance to the lowest polymorph of the same formula = 0.025 eV/atom
1.0
4.992 0.000 0.000
-0.023 7.086 0.000
-0.027 -1.416 6.992
Mn O F
8 13 3
Direct
0.000 0.000 0.000 Mn
0.001 0.510 0.990 Mn
0.003 0.519 0.497 Mn
0.447 0.156 0.358 Mn
0.482 0.668 0.334 Mn
0.501 0.654 0.844 Mn
0.516 0.164 0.859 Mn
0.964 0.008 0.504 Mn
0.137 0.259 0.480 O
0.164 0.521 0.246 O
0.181 0.750 0.981 O
0.283 0.919 0.358 O
0.322 0.146 0.097 O
0.322 0.646 0.590 O
0.332 0.410 0.858 O
0.642 0.147 0.597 O
0.677 0.911 0.853 O
0.678 0.645 0.085 O
0.809 0.750 0.475 O
0.831 0.523 0.745 O
0.836 0.256 0.980 O
0.196 0.028 0.746 F
0.663 0.398 0.361 F
0.768 0.024 0.245 F

[2]
PBE+U Mn2OF, optimized geometry; crystal system = tetragonal; distance to the lowest polymorph of the same formula = 0.087 eV/atom
1.0
5.056 0.000 0.000
0.000 5.056 0.000
0.000 0.000 10.047
Mn O F
8 4 4
Direct
0.215 0.250 0.125 Mn
0.250 0.715 0.375 Mn
0.250 0.785 0.875 Mn
0.285 0.250 0.625 Mn
0.715 0.750 0.625 Mn
0.750 0.215 0.875 Mn
0.750 0.285 0.375 Mn
0.785 0.750 0.125 Mn
0.000 0.000 0.000 O
0.000 0.500 0.250 O
0.500 0.000 0.750 O
0.500 0.500 0.500 O
0.000 0.000 0.500 F
0.000 0.500 0.750 F
0.500 0.000 0.250 F
0.500 0.500 0.000 F

distance to the lowest polymorph of the same formula of number 2 (Mn2OF)?
0.087 eV/atom